(1)
Computed, not measured: an optimized crystal structure of InBOsC2 at the GGA-PBE level of DFT.

POSCAR file:
```
InBOsC2
1.0
-1.6407 2.6299 -2.5254
-3.3277 -2.7598 -0.7121
-2.0181 1.6514 3.0308
C B Os In
2 1 1 1
Cartesian
-1.0090 0.8257 1.5154 C
-0.8203 1.3149 -1.2627 C
-1.6638 -1.3799 -0.3560 B
0.0000 0.0000 0.0000 Os
-3.4932 0.7608 -0.1033 In
```

Properties
symmetry	P4/mmm


(2)
Computed, not measured: an optimized crystal structure of InBP2C at the GGA-PBE level of DFT.

POSCAR file:
```
InBP2C
1.0
-1.3788 1.0515 -3.3680
-3.7371 -3.8564 0.3260
-2.3505 2.4231 1.7187
P C B In
2 1 1 1
Cartesian
-1.1753 1.2116 0.8594 P
-0.6894 0.5257 -1.6840 P
0.0000 0.0000 0.0000 C
-3.7332 -0.1909 -0.6617 B
-1.8686 -1.9282 0.1630 In
```

Properties
symmetry	P4/mmm


(3)
Computed, not measured: an optimized crystal structure of InB2PdC at the GGA-PBE level of DFT.

POSCAR file:
```
InB2PdC
1.0
-1.3714 -2.5384 3.1797
4.3451 -2.8382 -0.3917
1.9250 2.5514 2.8671
C B Pd In
1 2 1 1
Cartesian
2.4494 -1.4126 2.8276 C
0.9625 1.2757 1.4335 B
-0.6857 -1.2692 1.5899 B
2.1726 -1.4191 -0.1958 Pd
0.0000 0.0000 0.0000 In
```

Properties
symmetry	P4/mmm


Per-record formation enthalpy at 0 K, eV per formula unit: 7.46, 8.12, 14.61
Per-record density, kg/m³: 8058, 4293, 4411
Per-record DFT total energy, eV/atom: -6.3260, -4.2683, -3.1805